Nb3OsPt: relaxed, PBE.

abc: 4.7962 4.7962 4.7962
angles: 90.00 90.00 90.00
With the nearest neighbours (Å) after each atom.
Space group Pm-3m (No. 221)
One atom of each set of equivalent atoms:
Nb: 0.0000 0.0000 0.5000  2 Pt 2.40
Os: 0.5000 0.5000 0.5000  12 Nb 3.39
Pt: 0.0000 0.0000 0.0000  6 Nb 2.40

## Properties
Total moment in μB/f.u.: 0.00
Fermi-level density of states in states/eV/f.u.: 7.3
Energy above the lowest structure with this stoichiometry in eV/atom: 0.504

NbOsPt3: relaxed, PBE.

abc: 4.7899 4.7899 4.7899
angles: 90.00 90.00 90.00
With the nearest neighbours (Å) after each atom.
Space group Pm-3m (No. 221)
One atom of each set of equivalent atoms:
Nb: 0.0000 0.0000 0.0000  12 Pt 3.39
Os: 0.5000 0.5000 0.5000  6 Pt 2.39
Pt: 0.0000 0.5000 0.5000  2 Os 2.39

## Properties
Total moment in μB/f.u.: 2.35
Fermi-level density of states in states/eV/f.u.: 6.4
Energy above the lowest structure with this stoichiometry in eV/atom: 0.000

Nb2OsPt2: relaxed, PBE.

abc: 4.2071 14.0831 2.7675
angles: 90.00 90.00 90.00
With the nearest neighbours (Å) after each atom.
Space group Cmmm (No. 65)
One atom of each set of equivalent atoms:
Nb: 0.0000 0.1091 0.0000  3 Nb 2.77-3.07, 4 Pt 2.78, 4 Os 2.95
Os: 0.0000 0.5000 0.5000  2 Pt 2.71, 2 Os 2.77, 8 Nb 2.95
Pt: 0.0000 0.3078 0.5000  4 Pt 2.66-2.77, 1 Os 2.71, 4 Nb 2.78

## Properties
Total moment in μB/f.u.: 0.00
Fermi-level density of states in states/eV/f.u.: 5.3
Energy above the lowest structure with this stoichiometry in eV/atom: 0.000

NbOs3Pt: relaxed, PBE.

abc: 4.6960 4.6960 4.6960
angles: 90.00 90.00 90.00
With the nearest neighbours (Å) after each atom.
Space group Pm-3m (No. 221)
One atom of each set of equivalent atoms:
Nb: 0.0000 0.0000 0.0000  6 Os 2.35
Os: 0.0000 0.0000 0.5000  2 Nb 2.35
Pt: 0.5000 0.5000 0.5000  12 Os 3.32

## Properties
Total moment in μB/f.u.: 2.50
Fermi-level density of states in states/eV/f.u.: 7.9
Energy above the lowest structure with this stoichiometry in eV/atom: 0.000

NbOsPt: relaxed, PBE.

abc: 9.3385 2.8008 7.5504
angles: 90.00 96.70 90.00
With the nearest neighbours (Å) after each atom.
Space group C2/m (No. 12)
One atom of each set of equivalent atoms:
Nb: 0.1036 0.0000 0.2361  5 Os 2.72-2.89, 4 Pt 2.75-2.84, 2 Nb 2.80
Os: 0.1345 0.5000 0.9335  5 Os 2.67-2.81, 5 Nb 2.72-2.89, 2 Pt 2.89
Pt: 0.1503 0.0000 0.6020  4 Nb 2.75-2.84, 5 Pt 2.80-3.04, 2 Os 2.89

## Properties
Total moment in μB/f.u.: 0.00
Fermi-level density of states in states/eV/f.u.: 2.6
Energy above the lowest structure with this stoichiometry in eV/atom: 0.155

Nb3OsPt: relaxed, PBE.

abc: 4.7930 4.7930 4.7930
angles: 90.00 90.00 90.00
With the nearest neighbours (Å) after each atom.
Space group Pm-3m (No. 221)
One atom of each set of equivalent atoms:
Nb: 0.0000 0.0000 0.5000  2 Os 2.40
Os: 0.0000 0.0000 0.0000  6 Nb 2.40
Pt: 0.5000 0.5000 0.5000  12 Nb 3.39

## Properties
Total moment in μB/f.u.: 0.00
Fermi-level density of states in states/eV/f.u.: 5.6
Energy above the lowest structure with this stoichiometry in eV/atom: 0.000

What did the sixth record say?
Nb3OsPt: relaxed, PBE.

abc: 4.7930 4.7930 4.7930
angles: 90.00 90.00 90.00
With the nearest neighbours (Å) after each atom.
Space group Pm-3m (No. 221)
One atom of each set of equivalent atoms:
Nb: 0.0000 0.0000 0.5000  2 Os 2.40
Os: 0.0000 0.0000 0.0000  6 Nb 2.40
Pt: 0.5000 0.5000 0.5000  12 Nb 3.39

## Properties
Total moment in μB/f.u.: 0.00
Fermi-level density of states in states/eV/f.u.: 5.6
Energy above the lowest structure with this stoichiometry in eV/atom: 0.000

Number 4 is which compound? NbOs3Pt

Look up the Fermi-level density of states of the fifth one. 2.6 states/eV/f.u.